# 1
# PmAlPt6 PBE-GGA optimized geometry
data_PmAlPt6
_cell_length_a 4.092
_cell_length_b 4.092
_cell_length_c 8.000
_cell_angle_alpha 90.00
_cell_angle_beta 90.00
_cell_angle_gamma 90.00
_symmetry_space_group_name_H-M 'P 4/m m m'
_symmetry_Int_Tables_number 123
_symmetry_space_group_name_Hall '-P 4 2'
loop_
_atom_site_label
_atom_site_fract_x
_atom_site_fract_y
_atom_site_fract_z
_atom_site_occupancy
Pm1 0.000 0.000 0.000 1
Al1 0.000 0.000 0.500 1
Pt1 0.000 0.500 0.273 1
Pt2 0.500 0.500 0.000 1
Pt3 0.500 0.500 0.500 1
# - Crystal system: tetragonal
# - DFT formation energy: -0.7767 eV per atom
# - VASP energy: -6.37 eV/atom

---

# 2
# BaTaO2 PBE-GGA optimized geometry
data_BaTaO2
_cell_length_a 5.155
_cell_length_b 5.155
_cell_length_c 11.865
_cell_angle_alpha 90.00
_cell_angle_beta 90.00
_cell_angle_gamma 90.00
_symmetry_space_group_name_H-M 'I -4 2 d'
_symmetry_Int_Tables_number 122
_symmetry_space_group_name_Hall 'I -4 2bw'
loop_
_atom_site_label
_atom_site_fract_x
_atom_site_fract_y
_atom_site_fract_z
_atom_site_occupancy
Ba1 0.000 0.000 0.000 1
Ta1 0.000 0.000 0.500 1
O1 0.054 0.250 0.625 1
# - Crystal system: tetragonal
# - Relative energy among the computed polymorphs: 0.092 eV per atom
# - VASP energy: -7.73 eV/atom

---

# 3
# TmBeAl3Cu PBE-GGA optimized geometry
data_TmBeAl3Cu
_cell_length_a 6.123
_cell_length_b 11.795
_cell_length_c 5.641
_cell_angle_alpha 90.00
_cell_angle_beta 90.00
_cell_angle_gamma 90.00
_symmetry_space_group_name_H-M 'C m c m'
_symmetry_Int_Tables_number 63
_symmetry_space_group_name_Hall '-C 2c 2'
loop_
_atom_site_label
_atom_site_fract_x
_atom_site_fract_y
_atom_site_fract_z
_atom_site_occupancy
Tm1 0.000 0.219 0.250 1
Be1 0.000 0.439 0.250 1
Al1 0.000 0.358 0.750 1
Al2 0.211 0.000 0.000 1
Cu1 0.000 0.148 0.750 1
# - Crystal system: orthorhombic
# - DFT formation energy: -0.0097 eV per atom
# - VASP energy: -3.93 eV/atom

---

# 4
# PaCrRh2 PBE-GGA optimized geometry
data_PaCrRh2
_cell_length_a 4.263
_cell_length_b 4.263
_cell_length_c 3.794
_cell_angle_alpha 90.00
_cell_angle_beta 90.00
_cell_angle_gamma 90.00
_symmetry_space_group_name_H-M 'P 4/m m m'
_symmetry_Int_Tables_number 123
_symmetry_space_group_name_Hall '-P 4 2'
loop_
_atom_site_label
_atom_site_fract_x
_atom_site_fract_y
_atom_site_fract_z
_atom_site_occupancy
Pa1 0.000 0.000 0.000 1
Cr1 0.500 0.500 0.000 1
Rh1 0.000 0.500 0.500 1
# - Crystal system: tetragonal
# - DFT formation energy: -0.4859 eV per atom
# - VASP energy: -8.94 eV/atom

---

# 5
# YPuTeSe2 PBE-GGA optimized geometry
data_YPuTeSe2
_cell_length_a 4.558
_cell_length_b 4.558
_cell_length_c 14.074
_cell_angle_alpha 90.00
_cell_angle_beta 90.00
_cell_angle_gamma 90.00
_symmetry_space_group_name_H-M 'I 4 m m'
_symmetry_Int_Tables_number 107
_symmetry_space_group_name_Hall 'I 4 -2'
loop_
_atom_site_label
_atom_site_fract_x
_atom_site_fract_y
_atom_site_fract_z
_atom_site_occupancy
Y1 0.000 0.000 0.000 1
Pu1 0.000 0.000 0.263 1
Te1 0.000 0.000 0.636 1
Se1 0.000 0.500 0.385 1
# - Crystal system: tetragonal
# - VASP energy: -7.33 eV/atom